Entry 1:
Entry from Alexandria: a relaxed Mn4BeCr crystal (PBE).

```
6
Lattice="-2.381 -1.059 3.730 -0.765 3.159 3.183 -4.189 1.679 0.578" Properties=species:S:1:pos:R:3 pbc="T T T"
Mn -4.838 2.255 3.102
Mn -3.136 2.990 4.397
Mn -2.756 1.420 2.815
Mn -3.939 0.894 4.668
Be -5.501 2.835 5.618
Cr 0.000 0.000 0.000
```

Magnetization (Bohr magnetons per cell): 0.0
Calculated total energy (eV per cell): -48.8



Entry 2:
Entry from Alexandria: a relaxed Tm7Tl3 crystal (PBE).

```
20
Lattice="6.370 0.000 0.000 0.000 10.354 0.000 0.000 -5.177 8.967" Properties=species:S:1:pos:R:3 pbc="T T T"
Tm 2.629 3.114 7.776
Tm 5.814 8.291 1.191
Tm 0.986 0.000 8.419
Tm 4.171 7.291 4.209
Tm 0.589 5.177 2.989
Tm 0.986 2.114 4.758
Tm 0.986 -2.114 4.758
Tm 5.814 2.063 1.191
Tm 5.814 5.177 6.585
Tm 2.629 0.000 2.382
Tm 3.774 0.000 5.978
Tm 4.171 3.063 4.209
Tm 4.171 5.177 0.548
Tm 2.629 -3.114 7.776
Tl 5.548 2.220 7.260
Tl 2.363 5.177 5.553
Tl 2.363 7.397 1.707
Tl 5.548 0.000 3.414
Tl 2.363 2.957 1.707
Tl 5.548 -2.220 7.260
```

Magnetization (Bohr magnetons per cell): 0.0
Calculated total energy (eV per cell): -80.0



Entry 3:
Entry from Alexandria: a relaxed SrEuInGa crystal (PBE).

```
4
Lattice="-0.236 -0.241 -5.549 -4.673 -1.659 -2.514 -3.095 3.663 -2.813" Properties=species:S:1:pos:R:3 pbc="T T T"
Eu 0.000 0.000 0.000
Ga -2.001 0.441 -2.719
Sr -4.002 0.881 -5.438
In -6.003 1.322 -8.157
```

Magnetization (Bohr magnetons per cell): 7.1
Calculated total energy (eV per cell): -19.4



Entry 4:
Entry from Alexandria: a relaxed Mg3Si4 crystal (PBE).

```
14
Lattice="-3.507 -1.278 -0.586 0.901 -5.329 6.225 -3.064 5.595 6.143" Properties=species:S:1:pos:R:3 pbc="T T T"
Mg -3.549 1.683 5.393
Mg 0.539 -3.508 4.420
Mg -1.082 -5.519 6.327
Mg -2.998 1.591 2.293
Mg -1.498 0.304 8.306
Mg -2.017 -1.637 3.456
Si -1.906 -3.035 5.845
Si -0.646 -1.051 6.159
Si -1.048 0.756 4.622
Si -0.528 0.381 2.331
Si -2.593 4.718 5.236
Si -4.034 1.788 8.062
Si -2.666 3.809 7.651
Si -3.086 -1.609 9.799
```

Magnetization (Bohr magnetons per cell): 0.0
Uncorrected formation energy (eV/atom): 0.076



Entry 5:
Entry from Alexandria: a relaxed MgZnSe2 crystal (PBE).

```
4
Lattice="-1.485 -3.120 -0.523 3.113 -1.339 -0.856 1.039 -1.529 6.172" Properties=species:S:1:pos:R:3 pbc="T T T"
Mg 1.593 -3.376 3.939
Se 1.033 -1.521 6.137
Se 0.525 -0.773 3.120
Zn 1.073 -2.612 0.854
```

Magnetization (Bohr magnetons per cell): 0.0
Uncorrected formation energy (eV/atom): -0.289



Entry 6:
Entry from Alexandria: a relaxed Ba2Tl16Hg crystal (PBE).

```
19
Lattice="-2.976 -6.695 -4.557 6.515 -5.506 1.294 -3.401 -4.610 6.452" Properties=species:S:1:pos:R:3 pbc="T T T"
Tl 3.620 -5.876 -0.479
Tl -3.097 -6.069 -1.202
Tl 1.451 -8.576 -0.612
Tl -2.645 -13.975 2.545
Tl 0.013 -1.547 0.293
Tl 1.585 -14.358 0.345
Tl 3.637 -8.672 1.783
Tl 1.404 -13.468 5.041
Tl -3.263 -5.254 3.101
Tl 3.492 -5.244 2.860
Tl -1.593 -9.327 -1.442
Tl 1.281 -7.739 3.808
Tl -1.827 -8.178 4.625
Tl -2.530 -8.216 1.458
Tl -0.385 -4.893 4.876
Tl -0.090 -6.341 -2.767
Ba 0.045 -5.475 1.039
Ba 0.092 -11.153 2.116
Hg 0.126 -15.344 2.911
```

Magnetization (Bohr magnetons per cell): 0.0
Calculated total energy (eV per cell): -43.8



Entry 7:
Entry from Alexandria: a relaxed YCd3Hg2 crystal (PBE).

```
12
Lattice="5.748 0.000 0.000 0.000 5.893 -3.006 0.000 0.596 8.447" Properties=species:S:1:pos:R:3 pbc="T T T"
Hg 0.000 1.458 -0.744
Hg 2.874 4.435 -2.263
Hg 2.874 1.458 -0.744
Hg 0.000 4.435 -2.263
Y 1.437 3.997 0.556
Y 4.311 2.492 4.885
Cd 1.437 3.827 3.753
Cd 1.437 1.139 2.233
Cd 1.437 0.793 5.301
Cd 4.311 5.696 0.140
Cd 4.311 5.350 3.208
Cd 4.311 2.663 1.688
```

Magnetization (Bohr magnetons per cell): 0.0
Calculated total energy (eV per cell): -21.2



Entry 8:
Entry from Alexandria: a relaxed SbRh2C crystal (PBE).

```
8
Lattice="5.202 0.000 0.000 0.000 5.202 0.000 2.601 2.601 5.159" Properties=species:S:1:pos:R:3 pbc="T T T"
Rh 6.503 5.944 3.869
Rh 3.343 1.301 1.290
Rh 3.902 4.460 3.869
Rh 1.859 3.902 1.290
C 2.601 5.202 2.579
C 2.601 2.601 0.000
Sb 0.000 0.000 0.000
Sb 5.202 2.601 2.579
```

Magnetization (Bohr magnetons per cell): 0.0
Uncorrected formation energy (eV/atom): 0.177



Entry 9:
Entry from Alexandria: a relaxed LaIn2Tc2 crystal (PBE).

```
10
Lattice="-7.511 2.279 0.112 -0.666 -2.557 7.391 0.926 2.996 1.120" Properties=species:S:1:pos:R:3 pbc="T T T"
Tc -6.848 0.297 4.867
Tc -4.945 1.099 1.148
Tc -3.232 -1.377 6.356
Tc -1.329 -0.575 2.637
In -4.965 0.792 6.937
In -6.178 2.540 3.264
In -1.073 0.179 5.359
In -2.286 1.926 1.686
La -4.088 -0.139 3.752
La 0.000 0.000 0.000
```

Magnetization (Bohr magnetons per cell): 0.0
Calculated total energy (eV per cell): -60.4



Entry 10:
Entry from Alexandria: a relaxed ScMo2Br crystal (PBE).

```
4
Lattice="-4.767 0.496 -2.435 -1.615 -4.752 -1.925 1.247 2.670 4.496" Properties=species:S:1:pos:R:3 pbc="T T T"
Mo -3.563 0.381 -0.201
Mo -6.303 -4.204 -4.306
Br -1.698 -2.051 0.251
Sc -3.143 -2.096 -2.147
```

Magnetization (Bohr magnetons per cell): 0.0
Uncorrected formation energy (eV/atom): 0.414



Entry 11:
Entry from Alexandria: a relaxed AsBr2Cl crystal (PBE).

```
4
Lattice="5.222 0.004 0.000 0.901 5.143 0.000 -3.061 -2.573 3.357" Properties=species:S:1:pos:R:3 pbc="T T T"
As 2.611 0.002 1.679
Br 0.000 0.000 0.000
Br 0.450 2.572 1.679
Cl 3.061 2.573 0.000
```

Magnetization (Bohr magnetons per cell): 0.0
Uncorrected formation energy (eV/atom): 0.442



Entry 12:
Entry from Alexandria: a relaxed Pm5Nd2DyTh crystal (PBE).

```
18
Lattice="5.718 0.000 0.000 -2.859 10.306 0.000 0.000 0.000 10.609" Properties=species:S:1:pos:R:3 pbc="T T T"
Th 2.859 6.213 5.434
Th 0.000 4.094 0.129
Pm 2.859 4.229 2.170
Pm 2.859 4.627 8.643
Pm 0.000 7.967 0.265
Pm 0.000 5.679 3.338
Pm 2.859 0.387 2.582
Pm 2.859 9.993 5.506
Pm 0.000 0.313 0.201
Pm 0.000 6.077 7.475
Pm 0.000 9.919 7.887
Pm 2.859 2.339 5.570
Nd 0.000 2.369 7.769
Nd 0.000 2.381 3.351
Nd 2.859 7.937 2.464
Nd 2.859 7.925 8.656
Dy 2.859 1.939 10.155
Dy 0.000 8.367 4.850
```

Magnetization (Bohr magnetons per cell): 0.0
Calculated total energy (eV per cell): -87.9



Number 9 is which compound?
LaIn2Tc2



The highest magnetization belongs to which entry?
SrEuInGa



magnetization of number 5 (MgZnSe2)?
0.0 Bohr magnetons per cell



Please write out number 11 again, unchanged.
Entry from Alexandria: a relaxed AsBr2Cl crystal (PBE).

```
4
Lattice="5.222 0.004 0.000 0.901 5.143 0.000 -3.061 -2.573 3.357" Properties=species:S:1:pos:R:3 pbc="T T T"
As 2.611 0.002 1.679
Br 0.000 0.000 0.000
Br 0.450 2.572 1.679
Cl 3.061 2.573 0.000
```

Magnetization (Bohr magnetons per cell): 0.0
Uncorrected formation energy (eV/atom): 0.442